TiFeCuRh, relaxed, DFT GGA-PBE; energy of formation = -5.51 kcal/mol of atoms
1.0
0.000 2.989 2.989
2.989 0.000 2.989
2.989 2.989 0.000
Ti Fe Cu Rh
1 1 1 1
direct
0.000 0.000 0.000 Ti
0.250 0.250 0.250 Fe
0.500 0.500 0.500 Cu
0.750 0.750 0.750 Rh

---

Ba2CdInPt, relaxed, DFT GGA-PBE; energy of formation = -8.95 kcal/mol of atoms; energy above the most stable polymorph in this dataset = 0.066 eV per atom
1.0
6.096 0.000 0.000
0.000 6.096 0.000
0.000 0.000 5.273
Ba Cd In Pt
2 1 1 1
direct
0.000 0.500 0.000 Ba
0.500 0.000 0.000 Ba
0.000 0.000 0.500 Cd
0.500 0.500 0.500 In
0.000 0.000 0.000 Pt

---

NiGeBi2Te, relaxed, DFT GGA-PBE; raw formation energy = 0.4012 eV/atom
1.0
5.220 0.000 0.000
0.000 5.220 0.000
0.000 0.000 4.963
Ni Ge Bi Te
1 1 2 1
direct
0.000 0.000 0.000 Ni
0.500 0.500 0.500 Ge
0.000 0.500 0.000 Bi
0.500 0.000 0.000 Bi
0.000 0.000 0.500 Te

---

ReHgCl3, relaxed, DFT GGA-PBE; raw formation energy = 0.8376 eV/atom; energy above the most stable polymorph in this dataset = 0.766 eV per atom
1.0
5.292 0.000 0.000
0.000 5.292 0.000
0.000 0.000 5.292
Re Hg Cl
1 1 3
direct
0.000 0.000 0.000 Re
0.500 0.500 0.500 Hg
0.000 0.500 0.500 Cl
0.500 0.000 0.500 Cl
0.500 0.500 0.000 Cl

---

Bi2Sb2C, relaxed, DFT GGA-PBE; raw formation energy = 1.3440 eV/atom; energy above the most stable polymorph in this dataset = 0.378 eV per atom
1.0
-2.013 2.013 8.747
2.013 -2.013 8.747
2.013 2.013 -8.747
Bi Sb C
2 2 1
direct
0.084 0.084 0.000 Bi
0.916 0.916 0.000 Bi
0.250 0.750 0.500 Sb
0.750 0.250 0.500 Sb
0.500 0.500 0.000 C

---

Ho5PSe5, relaxed, DFT GGA-PBE; raw formation energy = -1.8409 eV/atom
1.0
6.388 -2.855 0.000
6.388 2.855 0.000
-2.560 0.000 7.634
Ho P Se
5 1 5
direct
0.000 0.000 0.000 Ho
0.340 0.340 0.673 Ho
0.342 0.342 0.167 Ho
0.658 0.658 0.833 Ho
0.660 0.660 0.327 Ho
0.500 0.500 0.000 P
0.168 0.168 0.833 Se
0.169 0.169 0.335 Se
0.500 0.500 0.500 Se
0.831 0.831 0.665 Se
0.832 0.832 0.167 Se

---

no.,mass density (g/cm³)
1,8.402
2,5.905
3,8.312
4,5.526
5,7.887
6,7.456